The following is a GGA+U calculation of a geometry-optimized PuZnCr2O6 structure, from the Alexandria database.

Cell and atoms, written as POSCAR:
```
PuZnCr2O6
1.0
2.665 1.539 4.692
-2.665 1.539 4.692
0.000 -3.077 4.692
Pu Zn Cr O
1 1 2 6
Cartesian
0.000 0.000 0.000
0.000 0.000 7.003
0.000 0.000 2.955
0.000 0.000 9.970
-0.911 -1.749 6.287
-1.556 0.207 8.624
-1.059 1.663 6.287
0.599 -1.451 8.624
1.970 0.086 6.287
0.957 1.244 8.624
```

Total magnetization: 10.0 μB/cell
Crystal system: trigonal
Space-group type: R3
Final energy: -8.10 eV/atom

---

The following is a GGA+U calculation of a geometry-optimized PuZrCrO6 structure, from the Alexandria database.

Cell and atoms, written as POSCAR:
```
PuZrCrO6
1.0
5.477 0.000 0.000
-2.739 4.743 0.000
0.000 0.000 8.739
Pu Zr Cr O
2 2 2 12
Cartesian
0.000 3.162 2.185
2.739 1.581 6.554
0.000 3.162 6.554
2.739 1.581 2.185
0.000 0.000 0.000
0.000 0.000 4.370
-0.887 1.553 5.475
-1.837 3.199 7.634
0.887 1.553 7.634
-0.950 4.735 5.475
1.789 0.008 1.105
0.901 1.545 3.265
1.837 3.199 5.475
0.950 4.735 7.634
3.689 0.008 3.265
1.852 3.190 1.105
4.576 1.545 1.105
3.626 3.190 3.265
```

Total magnetization: 12.0 μB/cell
Crystal system: trigonal
Space-group type: P-31c
Final energy: -9.19 eV/atom

---

The following is a GGA+U calculation of a geometry-optimized Rb2Cr2O7 structure, from the Alexandria database.

Cell and atoms, written as POSCAR:
```
Rb2Cr2O7
1.0
4.156 -5.411 0.000
4.156 5.411 0.000
-0.849 0.000 5.264
Rb Cr O
2 2 7
Cartesian
4.156 3.260 0.000
4.156 -3.260 0.000
1.995 0.000 3.000
5.468 0.000 2.264
1.625 1.341 3.865
1.145 0.000 1.604
1.625 -1.341 3.865
3.731 0.000 2.632
5.838 1.341 1.400
6.318 0.000 3.661
5.838 -1.341 1.400
```

Total magnetization: 0.1 μB/cell
Energy above the lowest structure with this stoichiometry: 17 meV/atom
Crystal system: monoclinic
Space-group type: C2/m
Final energy: -6.20 eV/atom

---

The following is a GGA+U calculation of a geometry-optimized RbCrO2 structure, from the Alexandria database.

Cell and atoms, written as POSCAR:
```
RbCrO2
1.0
4.276 0.000 0.000
-2.138 3.703 0.000
0.000 0.000 20.093
Rb Cr O
3 3 6
Cartesian
0.000 0.000 0.000
0.000 2.468 13.395
2.138 1.234 6.698
0.000 0.000 10.047
0.000 2.468 3.349
2.138 1.234 16.744
0.000 0.000 8.327
0.000 0.000 11.766
0.000 2.468 1.629
0.000 2.468 5.069
2.138 1.234 15.024
2.138 1.234 18.464
```

Total magnetization: 9.0 μB/cell
Crystal system: trigonal
Space-group type: R-3m
Final energy: -5.68 eV/atom

---

The following is a GGA+U calculation of a geometry-optimized Rb2CrO4 structure, from the Alexandria database.

Cell and atoms, written as POSCAR:
```
Rb2CrO4
1.0
6.336 0.000 0.000
0.000 6.103 0.000
-1.971 0.000 8.088
Rb Cr O
4 2 8
Cartesian
1.322 1.526 0.192
0.691 1.526 4.329
3.674 4.577 3.759
3.043 4.577 7.896
-0.124 4.577 6.298
4.489 1.526 1.789
-1.018 3.226 5.902
-1.018 5.928 5.902
0.142 4.577 7.945
1.334 4.577 5.479
3.031 1.526 2.608
4.223 1.526 0.143
5.384 0.175 2.185
5.384 2.877 2.185
```

Total magnetization: 0.3 μB/cell
Energy above the lowest structure with this stoichiometry: 20 meV/atom
Crystal system: monoclinic
Space-group type: P2_1/m
Final energy: -5.85 eV/atom

---

The following is a GGA+U calculation of a geometry-optimized RbCrO2 structure, from the Alexandria database.

Cell and atoms, written as POSCAR:
```
RbCrO2
1.0
6.094 0.000 0.000
0.000 6.094 0.000
0.000 0.000 7.512
Rb Cr O
4 4 8
Cartesian
0.000 0.000 0.000
0.000 3.047 1.878
3.047 0.000 5.634
3.047 3.047 3.756
0.000 0.000 3.756
0.000 3.047 5.634
3.047 0.000 1.878
3.047 3.047 0.000
0.681 1.523 4.695
1.523 3.727 6.573
1.523 5.413 2.817
2.366 1.523 0.939
3.727 4.570 0.939
4.570 0.681 2.817
4.570 2.366 6.573
5.413 4.570 4.695
```

Total magnetization: 12.0 μB/cell
Crystal system: tetragonal
Space-group type: I-42d
Final energy: -6.14 eV/atom

---

The following is a GGA+U calculation of a geometry-optimized Rb2Cr2O5 structure, from the Alexandria database.

Cell and atoms, written as POSCAR:
```
Rb2Cr2O5
1.0
-10.157 2.791 2.703
10.157 -2.791 2.703
10.157 2.791 -2.703
Rb Cr O
4 4 10
Cartesian
2.264 0.010 0.000
7.893 0.010 0.000
2.264 2.781 2.703
7.893 2.781 2.703
5.079 -0.425 2.991
0.000 2.791 0.002
0.000 0.000 2.705
5.079 3.216 0.288
10.184 1.395 -1.349
10.130 -1.396 1.354
15.236 0.790 -0.620
3.603 2.521 -0.061
6.555 2.521 -0.061
-0.027 1.396 1.354
10.184 1.396 1.354
3.603 0.270 2.642
6.555 0.270 2.642
-5.079 2.001 2.083
```

Total magnetization: 8.0 μB/cell
Crystal system: orthorhombic
Space-group type: Ima2
Final energy: -6.12 eV/atom

---

The following is a GGA+U calculation of a geometry-optimized RbCrO2 structure, from the Alexandria database.

Cell and atoms, written as POSCAR:
```
RbCrO2
1.0
3.138 0.000 0.000
-1.569 2.718 0.000
0.000 0.000 20.800
Rb Cr O
3 3 6
Cartesian
0.000 0.000 0.000
0.000 1.812 13.867
1.569 0.906 6.933
0.000 0.000 10.400
0.000 1.812 3.467
1.569 0.906 17.334
0.000 0.000 2.473
0.000 0.000 18.328
0.000 1.812 11.394
0.000 1.812 16.340
1.569 0.906 4.461
1.569 0.906 9.406
```

Total magnetization: 9.0 μB/cell
Crystal system: trigonal
Space-group type: R-3m
Final energy: -5.98 eV/atom

---

Sequential calculated density output: 7.33 7.07 2.71 2.65 3.05 4.04 3.84 4.76 g/cm³